Compound: MgZn2Au
Source: the Alexandria database
Functional: SCAN
Structure: single point on PBEsol structure

Results
Final energy ... -25.604 eV/atom
DOS(E_F) ... 0.20 states/eV per atom
Volume ... 15.80 A^3/atom

Cell and atoms, written as CIF:
```
data_MgZn2Au
_symmetry_space_group_name_H-M 'F -4 3 m'
_symmetry_Int_Tables_number 216
_symmetry_space_group_name_Hall 'F -4 2 3'
_cell_length_a 6.3227
_cell_length_b 6.3227
_cell_length_c 6.3227
_cell_angle_alpha 90.00
_cell_angle_beta 90.00
_cell_angle_gamma 90.00
loop_
_atom_site_label
_atom_site_type_symbol
_atom_site_fract_x
_atom_site_fract_y
_atom_site_fract_z
Mg1 Mg 0.0000 0.0000 0.0000
Zn1 Zn 0.0000 0.0000 0.5000
Zn2 Zn 0.2500 0.2500 0.7500
Au1 Au 0.2500 0.2500 0.2500
```

=====

Compound: Li4Ti2Cu3Sb3O16
Source: the Alexandria database
Functional: SCAN
Structure: single point on PBEsol structure

Results
Final energy ... -12.566 eV/atom
E_form (uncorrected) ... -1.8985 eV/atom
DOS(E_F) ... 0.19 states/eV per atom
Volume ... 11.03 A^3/atom

Cell and atoms, written as CIF:
```
data_Li4Ti2Cu3Sb3O16
_symmetry_space_group_name_H-M 'C 1 m 1'
_symmetry_Int_Tables_number 8
_symmetry_space_group_name_Hall 'C -2y'
_cell_length_a 10.6944
_cell_length_b 5.9624
_cell_length_c 9.7107
_cell_angle_alpha 90.00
_cell_angle_beta 93.85
_cell_angle_gamma 90.00
loop_
_atom_site_label
_atom_site_type_symbol
_atom_site_fract_x
_atom_site_fract_y
_atom_site_fract_z
Li1 Li 0.0000 0.0000 0.0000
Li2 Li 0.0234 0.0000 0.5291
Li3 Li 0.1982 0.5000 0.9228
Li4 Li 0.3483 0.0000 0.4333
Ti1 Ti 0.2104 0.5000 0.5299
Ti2 Ti 0.3920 0.0000 0.9905
Cu1 Cu 0.3504 0.5000 0.2382
Cu2 Cu 0.4546 0.2418 0.7314
Sb1 Sb 0.1042 0.2518 0.2430
Sb2 Sb 0.2064 0.0000 0.7443
O1 O 0.0170 0.5000 0.8786
O2 O 0.0188 0.0000 0.3406
O3 O 0.0341 0.5000 0.3598
O4 O 0.0372 0.0000 0.8178
O5 O 0.1324 0.2465 0.6173
O6 O 0.1698 0.0000 0.1324
O7 O 0.1819 0.5000 0.1338
O8 O 0.2510 0.2702 0.3740
O9 O 0.2815 0.2156 0.8850
O10 O 0.3621 0.0000 0.6401
O11 O 0.3638 0.5000 0.6083
O12 O 0.4494 0.2432 0.1169
```

=====

Compound: NbCrBr3
Source: the Alexandria database
Functional: SCAN
Structure: single point on PBEsol structure

Results
Final energy ... -22.080 eV/atom
E_form (uncorrected) ... -0.1015 eV/atom
DOS(E_F) ... 0.81 states/eV per atom
Volume ... 27.34 A^3/atom

Cell and atoms, written as CIF:
```
data_NbCrBr3
_symmetry_space_group_name_H-M 'P m -3 m'
_symmetry_Int_Tables_number 221
_symmetry_space_group_name_Hall '-P 4 2 3'
_cell_length_a 5.1513
_cell_length_b 5.1513
_cell_length_c 5.1513
_cell_angle_alpha 90.00
_cell_angle_beta 90.00
_cell_angle_gamma 90.00
loop_
_atom_site_label
_atom_site_type_symbol
_atom_site_fract_x
_atom_site_fract_y
_atom_site_fract_z
Nb1 Nb 0.0000 0.0000 0.0000
Cr1 Cr 0.5000 0.5000 0.5000
Br1 Br 0.0000 0.0000 0.5000
```

=====

Compound: PW3C
Source: the Alexandria database
Functional: SCAN
Structure: single point on PBEsol structure

Results
Final energy ... -45.202 eV/atom
DOS(E_F) ... 0.49 states/eV per atom
Volume ... 13.65 A^3/atom

Cell and atoms, written as CIF:
```
data_PW3C
_symmetry_space_group_name_H-M 'P m -3 m'
_symmetry_Int_Tables_number 221
_symmetry_space_group_name_Hall '-P 4 2 3'
_cell_length_a 4.0870
_cell_length_b 4.0870
_cell_length_c 4.0870
_cell_angle_alpha 90.00
_cell_angle_beta 90.00
_cell_angle_gamma 90.00
loop_
_atom_site_label
_atom_site_type_symbol
_atom_site_fract_x
_atom_site_fract_y
_atom_site_fract_z
P1 P 0.0000 0.0000 0.0000
W1 W 0.0000 0.5000 0.5000
C1 C 0.5000 0.5000 0.5000
```

=====

Compound: Ba2SrCa
Source: the Alexandria database
Functional: SCAN
Structure: single point on PBEsol structure

Results
Final energy ... -27.724 eV/atom
DOS(E_F) ... 1.05 states/eV per atom
Volume ... 51.23 A^3/atom

Cell and atoms, written as CIF:
```
data_Ba2SrCa
_symmetry_space_group_name_H-M 'C 1 2/m 1'
_symmetry_Int_Tables_number 12
_symmetry_space_group_name_Hall '-C 2y'
_cell_length_a 8.1020
_cell_length_b 13.1226
_cell_length_c 4.0589
_cell_angle_alpha 90.00
_cell_angle_beta 108.26
_cell_angle_gamma 90.00
loop_
_atom_site_label
_atom_site_type_symbol
_atom_site_fract_x
_atom_site_fract_y
_atom_site_fract_z
Ba1 Ba 0.2500 0.2500 0.0000
Sr1 Sr 0.0000 0.0000 0.5000
Ca1 Ca 0.0000 0.5000 0.5000
```

=====

Compound: CaSbIr2
Source: the Alexandria database
Functional: SCAN
Structure: single point on PBEsol structure

Results
Final energy ... -47.352 eV/atom
E_form (uncorrected) ... -0.0716 eV/atom
DOS(E_F) ... 0.70 states/eV per atom
Volume ... 19.35 A^3/atom

Cell and atoms, written as CIF:
```
data_CaSbIr2
_symmetry_space_group_name_H-M 'P 1 m 1'
_symmetry_Int_Tables_number 6
_symmetry_space_group_name_Hall 'P -2y'
_cell_length_a 2.9327
_cell_length_b 4.2244
_cell_length_c 6.3850
_cell_angle_alpha 90.00
_cell_angle_beta 101.93
_cell_angle_gamma 90.00
loop_
_atom_site_label
_atom_site_type_symbol
_atom_site_fract_x
_atom_site_fract_y
_atom_site_fract_z
Ca1 Ca 0.0000 0.0000 0.0000
Sb1 Sb 0.3608 0.5000 0.6913
Ir1 Ir 0.3168 0.0000 0.4318
Ir2 Ir 0.7362 0.5000 0.3015
```

=====

Compound: Al2Ni2Au
Source: the Alexandria database
Functional: SCAN
Structure: single point on PBEsol structure

Results
Final energy ... -23.973 eV/atom
DOS(E_F) ... 0.39 states/eV per atom
Volume ... 12.96 A^3/atom

Cell and atoms, written as CIF:
```
data_Al2Ni2Au
_symmetry_space_group_name_H-M 'P 4/m b m'
_symmetry_Int_Tables_number 127
_symmetry_space_group_name_Hall '-P 4 2ab'
_cell_length_a 6.8640
_cell_length_b 6.8640
_cell_length_c 2.7511
_cell_angle_alpha 90.00
_cell_angle_beta 90.00
_cell_angle_gamma 90.00
loop_
_atom_site_label
_atom_site_type_symbol
_atom_site_fract_x
_atom_site_fract_y
_atom_site_fract_z
Al1 Al 0.1634 0.3366 0.0000
Ni1 Ni 0.1315 0.6315 0.5000
Au1 Au 0.0000 0.0000 0.5000
```

=====

Compound: Mg3W
Source: the Alexandria database
Functional: SCAN
Structure: single point on PBEsol structure

Results
Final energy ... -20.598 eV/atom
DOS(E_F) ... 0.38 states/eV per atom
Volume ... 17.99 A^3/atom

Cell and atoms, written as CIF:
```
data_Mg3W
_symmetry_space_group_name_H-M 'P m -3 m'
_symmetry_Int_Tables_number 221
_symmetry_space_group_name_Hall '-P 4 2 3'
_cell_length_a 4.1595
_cell_length_b 4.1595
_cell_length_c 4.1595
_cell_angle_alpha 90.00
_cell_angle_beta 90.00
_cell_angle_gamma 90.00
loop_
_atom_site_label
_atom_site_type_symbol
_atom_site_fract_x
_atom_site_fract_y
_atom_site_fract_z
Mg1 Mg 0.0000 0.0000 0.5000
W1 W 0.5000 0.5000 0.5000
```

=====

Compound: LiTcSb2
Source: the Alexandria database
Functional: SCAN
Structure: single point on PBEsol structure

Results
Final energy ... -28.185 eV/atom
E_form (uncorrected) ... -0.1923 eV/atom
DOS(E_F) ... 0.15 states/eV per atom
Volume ... 19.60 A^3/atom

Cell and atoms, written as CIF:
```
data_LiTcSb2
_symmetry_space_group_name_H-M 'P 1 2/m 1'
_symmetry_Int_Tables_number 10
_symmetry_space_group_name_Hall '-P 2y'
_cell_length_a 3.2074
_cell_length_b 3.2026
_cell_length_c 7.6741
_cell_angle_alpha 90.00
_cell_angle_beta 96.02
_cell_angle_gamma 90.00
loop_
_atom_site_label
_atom_site_type_symbol
_atom_site_fract_x
_atom_site_fract_y
_atom_site_fract_z
Li1 Li 0.0000 0.0000 0.0000
Tc1 Tc 0.0000 0.0000 0.5000
Sb1 Sb 0.4520 0.5000 0.2857
```

=====

Compound: AlRuPb2
Source: the Alexandria database
Functional: SCAN
Structure: single point on PBEsol structure

Results
Final energy ... -47.939 eV/atom
DOS(E_F) ... 0.81 states/eV per atom
Volume ... 20.27 A^3/atom

Cell and atoms, written as CIF:
```
data_AlRuPb2
_symmetry_space_group_name_H-M 'P 4/m m m'
_symmetry_Int_Tables_number 123
_symmetry_space_group_name_Hall '-P 4 2'
_cell_length_a 4.8091
_cell_length_b 4.8091
_cell_length_c 3.5056
_cell_angle_alpha 90.00
_cell_angle_beta 90.00
_cell_angle_gamma 90.00
loop_
_atom_site_label
_atom_site_type_symbol
_atom_site_fract_x
_atom_site_fract_y
_atom_site_fract_z
Al1 Al 0.0000 0.0000 0.0000
Ru1 Ru 0.5000 0.5000 0.0000
Pb1 Pb 0.0000 0.5000 0.5000
```

=====

Compound: LiTi2Fe
Source: the Alexandria database
Functional: SCAN
Structure: single point on PBEsol structure

Results
Final energy ... -13.152 eV/atom
DOS(E_F) ... 0.60 states/eV per atom
Volume ... 13.13 A^3/atom

Cell and atoms, written as CIF:
```
data_LiTi2Fe
_symmetry_space_group_name_H-M 'F m -3 m'
_symmetry_Int_Tables_number 225
_symmetry_space_group_name_Hall '-F 4 2 3'
_cell_length_a 5.9441
_cell_length_b 5.9441
_cell_length_c 5.9441
_cell_angle_alpha 90.00
_cell_angle_beta 90.00
_cell_angle_gamma 90.00
loop_
_atom_site_label
_atom_site_type_symbol
_atom_site_fract_x
_atom_site_fract_y
_atom_site_fract_z
Li1 Li 0.0000 0.0000 0.0000
Ti1 Ti 0.2500 0.2500 0.2500
Fe1 Fe 0.0000 0.0000 0.5000
```